## La2TlHgRu (PBE-GGA)

Data for a relaxed structure of La2TlHgRu.

For the formation enthalpy at 0 K, the calculation gives -0.30 eV/atom. As for the magnetization: 0.00 μB per cell. The energy comes out at -4.658 eV/atom. The density of states at the Fermi level comes out at 3.6 states/eV/cell.

The space group is P4/mmm (No. 123) and the conventional cell measures 5.4032, 5.4032 and 5.3492 Å, with angles of 90.00, 90.00 and 90.00 degrees. The inequivalent atoms are La at (0.0000, 0.5000, 0.0000), Tl at (0.0000, 0.0000, 0.5000), Hg at (0.5000, 0.5000, 0.5000) and Ru at (0.0000, 0.0000, 0.0000).

***

## La2TlHgRu (PBE-GGA)

Data for a relaxed structure of La2TlHgRu.

For the formation enthalpy at 0 K, the calculation gives -0.38 eV/atom. As for the magnetization: 0.00 μB per cell. The energy comes out at -4.744 eV/atom. The density of states at the Fermi level comes out at 7.0 states/eV/cell.

The space group is P2_1/m (No. 11) and the conventional cell measures 8.5389, 4.1557 and 8.5960 Å, with angles of 90.00, 112.46 and 90.00 degrees. The inequivalent atoms are La at (0.0177, 0.2500, 0.2415), La at (0.3420, 0.7500, 0.6226), Tl at (0.3399, 0.2500, 0.9576), Hg at (0.3137, 0.7500, 0.2216) and Ru at (0.1110, 0.2500, 0.6229).

***

## LaHgRu2W (PBE-GGA)

Data for a relaxed structure of LaHgRu2W.

For the formation enthalpy at 0 K, the calculation gives 2.30 eV/atom. As for the magnetization: 0.60 μB per cell. The energy comes out at -5.044 eV/atom. The density of states at the Fermi level comes out at 11.1 states/eV/cell.

The space group is P4/mmm (No. 123) and the conventional cell measures 4.8986, 4.8986 and 5.3633 Å, with angles of 90.00, 90.00 and 90.00 degrees. The inequivalent atoms are La at (0.0000, 0.0000, 0.0000), Hg at (0.0000, 0.0000, 0.5000), Ru at (0.0000, 0.5000, 0.5000) and W at (0.5000, 0.5000, 0.0000).

***

## LaHg2RuW (PBE-GGA)

Data for a relaxed structure of LaHg2RuW.

For the formation enthalpy at 0 K, the calculation gives 2.14 eV/atom. As for the magnetization: 0.00 μB per cell. The energy comes out at -3.412 eV/atom. The density of states at the Fermi level comes out at 7.4 states/eV/cell.

The space group is P4/mmm (No. 123) and the conventional cell measures 5.6301, 5.6301 and 4.6293 Å, with angles of 90.00, 90.00 and 90.00 degrees. The inequivalent atoms are La at (0.0000, 0.0000, 0.0000), Hg at (0.0000, 0.5000, 0.0000), Ru at (0.0000, 0.0000, 0.5000) and W at (0.5000, 0.5000, 0.5000).

***

## LaY2HgRu (PBE-GGA)

Data for a relaxed structure of LaY2HgRu.

For the formation enthalpy at 0 K, the calculation gives -0.20 eV/atom. As for the magnetization: 0.00 μB per cell. The energy comes out at -5.683 eV/atom. The density of states at the Fermi level comes out at 4.0 states/eV/cell.

The space group is P4/mmm (No. 123) and the conventional cell measures 5.3906, 5.3906 and 5.3217 Å, with angles of 90.00, 90.00 and 90.00 degrees. The inequivalent atoms are La at (0.0000, 0.0000, 0.0000), Y at (0.0000, 0.5000, 0.5000), Hg at (0.5000, 0.5000, 0.0000) and Ru at (0.0000, 0.0000, 0.5000).

***

## LaYHgRu (PBE-GGA)

Data for a relaxed structure of LaYHgRu.

For the formation enthalpy at 0 K, the calculation gives -0.39 eV/atom. As for the magnetization: 0.00 μB per cell. The energy comes out at -5.635 eV/atom. The density of states at the Fermi level comes out at 3.6 states/eV/cell.

The space group is P4mm (No. 99) and the conventional cell measures 3.5501, 3.5501 and 7.7636 Å, with angles of 90.00, 90.00 and 90.00 degrees. The inequivalent atoms are La at (0.0000, 0.0000, 0.0000), Y at (0.0000, 0.0000, 0.5596), Hg at (0.5000, 0.5000, 0.3034) and Ru at (0.5000, 0.5000, 0.7686).

***

Let's list mass density in order: 8.3, 9.2, 9.4, 9.3, 6.6, 9.0 g cm⁻³.